# LaCuS2N, optimized geometry, DFT PBE
data_LaCuS2N
_chemical_formula_sum 'La1 Cu1 S2 N1'
_cell_length_a 5.607
_cell_length_b 5.607
_cell_length_c 4.320
_cell_angle_alpha 90.00
_cell_angle_beta 90.00
_cell_angle_gamma 90.00
_space_group_name_H-M_alt 'P 4/m m m'
_space_group_IT_number 123
_space_group_name_Hall '-P 4 2'
loop_
_atom_site_label
_atom_site_type_symbol
_atom_site_fract_x
_atom_site_fract_y
_atom_site_fract_z
_atom_site_occupancy
La1 La 0.000 0.000 0.000 1
Cu1 Cu 0.500 0.500 0.500 1
S1 S 0.000 0.500 0.000 1
N1 N 0.000 0.000 0.500 1
# Formation energy (no corrections)   622 meV per atom
# Polymorph energy (0 for the lowest one)   1043 meV per atom
# Energy   -4.499 eV per atom

---

# La2CuSbN, optimized geometry, DFT PBE
data_La2CuSbN
_chemical_formula_sum 'La2 Cu1 Sb1 N1'
_cell_length_a 5.223
_cell_length_b 5.223
_cell_length_c 4.083
_cell_angle_alpha 90.00
_cell_angle_beta 90.00
_cell_angle_gamma 90.00
_space_group_name_H-M_alt 'P 4/m m m'
_space_group_IT_number 123
_space_group_name_Hall '-P 4 2'
loop_
_atom_site_label
_atom_site_type_symbol
_atom_site_fract_x
_atom_site_fract_y
_atom_site_fract_z
_atom_site_occupancy
La1 La 0.000 0.500 0.000 1
Cu1 Cu 0.000 0.000 0.500 1
Sb1 Sb 0.500 0.500 0.500 1
N1 N 0.000 0.000 0.000 1
# Formation energy (no corrections)   -870 meV per atom
# Energy   -6.149 eV per atom

---

# La2ScCuN, optimized geometry, DFT PBE
data_La2ScCuN
_chemical_formula_sum 'La2 Sc1 Cu1 N1'
_cell_length_a 5.203
_cell_length_b 5.203
_cell_length_c 4.239
_cell_angle_alpha 90.00
_cell_angle_beta 90.00
_cell_angle_gamma 90.00
_space_group_name_H-M_alt 'P 4/m m m'
_space_group_IT_number 123
_space_group_name_Hall '-P 4 2'
loop_
_atom_site_label
_atom_site_type_symbol
_atom_site_fract_x
_atom_site_fract_y
_atom_site_fract_z
_atom_site_occupancy
La1 La 0.000 0.500 0.000 1
Sc1 Sc 0.000 0.000 0.500 1
Cu1 Cu 0.500 0.500 0.500 1
N1 N 0.000 0.000 0.000 1
# Formation energy (no corrections)   -624 meV per atom
# Energy   -6.346 eV per atom

---

# LaCuSiN, optimized geometry, DFT PBE
data_LaCuSiN
_chemical_formula_sum 'La2 Cu2 Si2 N2'
_cell_length_a 3.882
_cell_length_b 3.882
_cell_length_c 8.449
_cell_angle_alpha 90.00
_cell_angle_beta 90.00
_cell_angle_gamma 90.00
_space_group_name_H-M_alt 'P 4/n m m'
_space_group_IT_number 129
loop_
_space_group_symop_operation_xyz
'x,y,z'
'-x,-y,-z'
'-y+1/2,x,z'
'y+1/2,-x,-z'
'-x+1/2,-y+1/2,z'
'x+1/2,y+1/2,-z'
'y,-x+1/2,z'
'-y,x+1/2,-z'
'x+1/2,-y,-z'
'-x+1/2,y,z'
'-y,-x,-z'
'y,x,z'
'-x,y+1/2,-z'
'x,-y+1/2,z'
'y+1/2,x+1/2,-z'
'-y+1/2,-x+1/2,z'
loop_
_atom_site_label
_atom_site_type_symbol
_atom_site_fract_x
_atom_site_fract_y
_atom_site_fract_z
_atom_site_occupancy
La1 La 0.250 0.250 0.159 1
Cu1 Cu 0.250 0.750 0.500 1
Si1 Si 0.250 0.250 0.660 1
N1 N 0.250 0.250 0.870 1
# Formation energy (no corrections)   -924 meV per atom
# Energy   -6.617 eV per atom

---

# La2CuSnN, optimized geometry, DFT PBE
data_La2CuSnN
_chemical_formula_sum 'La2 Cu1 Sn1 N1'
_cell_length_a 5.278
_cell_length_b 5.278
_cell_length_c 4.030
_cell_angle_alpha 90.00
_cell_angle_beta 90.00
_cell_angle_gamma 90.00
_space_group_name_H-M_alt 'P 4/m m m'
_space_group_IT_number 123
_space_group_name_Hall '-P 4 2'
loop_
_atom_site_label
_atom_site_type_symbol
_atom_site_fract_x
_atom_site_fract_y
_atom_site_fract_z
_atom_site_occupancy
La1 La 0.000 0.500 0.000 1
Cu1 Cu 0.000 0.000 0.500 1
Sn1 Sn 0.500 0.500 0.500 1
N1 N 0.000 0.000 0.000 1
# Formation energy (no corrections)   -709 meV per atom
# Energy   -5.965 eV per atom

---

# LaCu2SnN, optimized geometry, DFT PBE
data_LaCu2SnN
_chemical_formula_sum 'La4 Cu8 Sn4 N4'
_cell_length_a 3.641
_cell_length_b 13.970
_cell_length_c 7.030
_cell_angle_alpha 90.00
_cell_angle_beta 90.00
_cell_angle_gamma 90.00
_space_group_name_H-M_alt 'C m c m'
_space_group_IT_number 63
_space_group_name_Hall '-C 2c 2'
loop_
_atom_site_label
_atom_site_type_symbol
_atom_site_fract_x
_atom_site_fract_y
_atom_site_fract_z
_atom_site_occupancy
La1 La 0.000 0.035 0.250 1
Cu1 Cu 0.000 0.363 0.067 1
Sn1 Sn 0.000 0.246 0.750 1
N1 N 0.000 0.500 0.000 1
# Formation energy (no corrections)   -482 meV per atom
# Energy   -5.572 eV per atom

---

# SrLaCuN2, optimized geometry, DFT PBE
data_SrLaCuN2
_chemical_formula_sum 'Sr2 La2 Cu2 N4'
_cell_length_a 5.321
_cell_length_b 5.583
_cell_length_c 6.961
_cell_angle_alpha 90.00
_cell_angle_beta 90.07
_cell_angle_gamma 90.00
_space_group_name_H-M_alt 'P 1 2/c 1'
_space_group_IT_number 13
loop_
_space_group_symop_operation_xyz
'x,y,z'
'-x,-y,-z'
'-x,y,-z+1/2'
'x,-y,z+1/2'
loop_
_atom_site_label
_atom_site_type_symbol
_atom_site_fract_x
_atom_site_fract_y
_atom_site_fract_z
_atom_site_occupancy
Sr1 Sr 0.000 0.001 0.250 1
La1 La 0.500 0.500 0.250 1
Cu1 Cu 0.500 0.000 0.000 1
N1 N 0.280 0.260 0.000 1
# Formation energy (no corrections)   -627 meV per atom
# Energy   -6.099 eV per atom

---

# La2CuTcN, optimized geometry, DFT PBE
data_La2CuTcN
_chemical_formula_sum 'La2 Cu1 Tc1 N1'
_cell_length_a 5.211
_cell_length_b 5.211
_cell_length_c 3.886
_cell_angle_alpha 90.00
_cell_angle_beta 90.00
_cell_angle_gamma 90.00
_space_group_name_H-M_alt 'P 4/m m m'
_space_group_IT_number 123
_space_group_name_Hall '-P 4 2'
loop_
_atom_site_label
_atom_site_type_symbol
_atom_site_fract_x
_atom_site_fract_y
_atom_site_fract_z
_atom_site_occupancy
La1 La 0.000 0.500 0.000 1
Cu1 Cu 0.000 0.000 0.500 1
Tc1 Tc 0.500 0.500 0.500 1
N1 N 0.500 0.500 0.000 1
# Formation energy (no corrections)   -519 meV per atom
# Energy   -7.048 eV per atom

---

# LaTh2CuN4, optimized geometry, DFT PBE
data_LaTh2CuN4
_chemical_formula_sum 'La4 Th8 Cu4 N16'
_cell_length_a 3.649
_cell_length_b 11.866
_cell_length_c 11.989
_cell_angle_alpha 90.00
_cell_angle_beta 90.00
_cell_angle_gamma 90.00
_space_group_name_H-M_alt 'C m c m'
_space_group_IT_number 63
_space_group_name_Hall '-C 2c 2'
loop_
_atom_site_label
_atom_site_type_symbol
_atom_site_fract_x
_atom_site_fract_y
_atom_site_fract_z
_atom_site_occupancy
La1 La 0.000 0.099 0.250 1
Th1 Th 0.000 0.368 0.060 1
Cu1 Cu 0.000 0.168 0.750 1
N1 N 0.000 0.000 0.000 1
N2 N 0.000 0.265 0.613 1
N3 N 0.000 0.453 0.250 1
# Formation energy (no corrections)   -1235 meV per atom
# Energy   -8.381 eV per atom

---

# La2TiCuN, optimized geometry, DFT PBE
data_La2TiCuN
_chemical_formula_sum 'La2 Ti1 Cu1 N1'
_cell_length_a 5.242
_cell_length_b 5.242
_cell_length_c 3.982
_cell_angle_alpha 90.00
_cell_angle_beta 90.00
_cell_angle_gamma 90.00
_space_group_name_H-M_alt 'P 4/m m m'
_space_group_IT_number 123
_space_group_name_Hall '-P 4 2'
loop_
_atom_site_label
_atom_site_type_symbol
_atom_site_fract_x
_atom_site_fract_y
_atom_site_fract_z
_atom_site_occupancy
La1 La 0.000 0.500 0.000 1
Ti1 Ti 0.000 0.000 0.500 1
Cu1 Cu 0.500 0.500 0.500 1
N1 N 0.000 0.000 0.000 1
# Formation energy (no corrections)   -583 meV per atom
# Energy   -6.617 eV per atom

---

# LaTi2CuN, optimized geometry, DFT PBE
data_LaTi2CuN
_chemical_formula_sum 'La1 Ti2 Cu1 N1'
_cell_length_a 5.035
_cell_length_b 5.035
_cell_length_c 4.140
_cell_angle_alpha 90.00
_cell_angle_beta 90.00
_cell_angle_gamma 90.00
_space_group_name_H-M_alt 'P 4/m m m'
_space_group_IT_number 123
_space_group_name_Hall '-P 4 2'
loop_
_atom_site_label
_atom_site_type_symbol
_atom_site_fract_x
_atom_site_fract_y
_atom_site_fract_z
_atom_site_occupancy
La1 La 0.000 0.000 0.000 1
Ti1 Ti 0.000 0.500 0.000 1
Cu1 Cu 0.500 0.500 0.500 1
N1 N 0.000 0.000 0.500 1
# Formation energy (no corrections)   1575 meV per atom
# Energy   -5.052 eV per atom

---

# La2TlCuN, optimized geometry, DFT PBE
data_La2TlCuN
_chemical_formula_sum 'La2 Tl1 Cu1 N1'
_cell_length_a 5.277
_cell_length_b 5.277
_cell_length_c 4.035
_cell_angle_alpha 90.00
_cell_angle_beta 90.00
_cell_angle_gamma 90.00
_space_group_name_H-M_alt 'P 4/m m m'
_space_group_IT_number 123
_space_group_name_Hall '-P 4 2'
loop_
_atom_site_label
_atom_site_type_symbol
_atom_site_fract_x
_atom_site_fract_y
_atom_site_fract_z
_atom_site_occupancy
La1 La 0.000 0.500 0.000 1
Tl1 Tl 0.000 0.000 0.500 1
Cu1 Cu 0.500 0.500 0.500 1
N1 N 0.500 0.500 0.000 1
# Formation energy (no corrections)   -526 meV per atom
# Energy   -5.455 eV per atom

---

Values for M_tot, μB per formula unit, ordered as above
2.172, 0.000, 0.000, 0.000, 0.000, 0.000, 0.000, 0.000, 0.000, 1.281, 1.497, 0.000